CrInSi: relaxed, PBEsol.

Structure (CIF):
```
data_CrInSi
_cell_length_a 4.0039
_cell_length_b 4.0039
_cell_length_c 3.4605
_cell_angle_alpha 90.00
_cell_angle_beta 90.00
_cell_angle_gamma 120.00
_symmetry_space_group_name_H-M 'P -6 m 2'
_symmetry_Int_Tables_number 187
_symmetry_space_group_name_Hall 'P -6 2'
loop_
_atom_site_label
_atom_site_fract_x
_atom_site_fract_y
_atom_site_fract_z
Cr1 0.0000 0.0000 0.0000
In1 0.3333 0.6667 0.5000
Si1 0.6667 0.3333 0.0000
```

## Properties
- E_tot: -6.011 eV per atom
- ΔE_f (raw): 312 meV per atom
- Calculated density: 6.7 g/cm3
- Volume: 48 Å³/cell

***

Al3InRu: relaxed, PBEsol.

Structure (CIF):
```
data_Al3InRu
_cell_length_a 4.9230
_cell_length_b 4.9230
_cell_length_c 4.9230
_cell_angle_alpha 90.00
_cell_angle_beta 90.00
_cell_angle_gamma 90.00
_symmetry_space_group_name_H-M 'P m -3 m'
_symmetry_Int_Tables_number 221
_symmetry_space_group_name_Hall '-P 4 2 3'
loop_
_atom_site_label
_atom_site_fract_x
_atom_site_fract_y
_atom_site_fract_z
Al1 0.0000 0.0000 0.5000
In1 0.0000 0.0000 0.0000
Ru1 0.5000 0.5000 0.5000
```

## Properties
- E_tot: -3.443 eV per atom
- Calculated density: 4.1 g/cm3
- E_form: 1.6429 eV/atom
- Volume: 119 Å³/cell

***

TcSb2Te: relaxed, PBEsol.

Structure (CIF):
```
data_TcSb2Te
_cell_length_a 4.5386
_cell_length_b 4.5386
_cell_length_c 8.3160
_cell_angle_alpha 90.00
_cell_angle_beta 90.00
_cell_angle_gamma 90.00
_symmetry_space_group_name_H-M 'I 4/m m m'
_symmetry_Int_Tables_number 139
_symmetry_space_group_name_Hall '-I 4 2'
loop_
_atom_site_label
_atom_site_fract_x
_atom_site_fract_y
_atom_site_fract_z
Tc1 0.0000 0.0000 0.0000
Sb1 0.0000 0.5000 0.2500
Te1 0.0000 0.0000 0.5000
```

## Properties
- E_tot: -5.404 eV per atom
- ΔE_f (raw): 572 meV per atom
- Calculated density: 9.1 g/cm3
- Volume: 171 Å³/cell

***

ScGa6Fe6: relaxed, PBEsol.

Structure (CIF):
```
data_ScGa6Fe6
_cell_length_a 4.9088
_cell_length_b 8.2569
_cell_length_c 8.4551
_cell_angle_alpha 90.00
_cell_angle_beta 90.00
_cell_angle_gamma 90.00
_symmetry_space_group_name_H-M 'I m m m'
_symmetry_Int_Tables_number 71
_symmetry_space_group_name_Hall '-I 2 2'
loop_
_atom_site_label
_atom_site_fract_x
_atom_site_fract_y
_atom_site_fract_z
Sc1 0.0000 0.0000 0.0000
Ga1 0.0000 0.0000 0.3408
Ga2 0.0000 0.3275 0.0000
Ga3 0.0000 0.5000 0.3231
Fe1 0.0000 0.2566 0.5000
Fe2 0.2500 0.2500 0.2500
```

## Properties
- E_tot: -6.535 eV per atom
- Calculated density: 7.7 g/cm3
- E_form: -0.3483 eV/atom
- Volume: 343 Å³/cell

***

Mg2OsAu: relaxed, PBEsol.

Structure (CIF):
```
data_Mg2OsAu
_cell_length_a 4.7643
_cell_length_b 2.8986
_cell_length_c 5.0176
_cell_angle_alpha 90.00
_cell_angle_beta 111.41
_cell_angle_gamma 90.00
_symmetry_space_group_name_H-M 'P 1 2/m 1'
_symmetry_Int_Tables_number 10
_symmetry_space_group_name_Hall '-P 2y'
loop_
_atom_site_label
_atom_site_fract_x
_atom_site_fract_y
_atom_site_fract_z
Mg1 0.0000 0.0000 0.0000
Mg2 0.0000 0.5000 0.5000
Os1 0.5000 0.0000 0.5000
Au1 0.5000 0.5000 0.0000
```

## Properties
- E_tot: -4.779 eV per atom
- Calculated density: 11.2 g/cm3
- E_form: 0.1146 eV/atom
- Volume: 65 Å³/cell

***

CaSc4Sb: relaxed, PBEsol.

Structure (CIF):
```
data_CaSc4Sb
_cell_length_a 8.5083
_cell_length_b 8.5083
_cell_length_c 8.5083
_cell_angle_alpha 90.00
_cell_angle_beta 90.00
_cell_angle_gamma 90.00
_symmetry_space_group_name_H-M 'F -4 3 m'
_symmetry_Int_Tables_number 216
_symmetry_space_group_name_Hall 'F -4 2 3'
loop_
_atom_site_label
_atom_site_fract_x
_atom_site_fract_y
_atom_site_fract_z
Ca1 0.0000 0.0000 0.0000
Sc1 0.1255 0.1255 0.6255
Sb1 0.2500 0.2500 0.2500
```

## Properties
- E_tot: -5.443 eV per atom
- ΔE_f (raw): 75 meV per atom
- Calculated density: 3.7 g/cm3
- Volume: 616 Å³/cell

***

NaAg2Sb2: relaxed, PBEsol.

Structure (CIF):
```
data_NaAg2Sb2
_cell_length_a 4.5718
_cell_length_b 4.5718
_cell_length_c 11.8779
_cell_angle_alpha 90.00
_cell_angle_beta 90.00
_cell_angle_gamma 90.00
_symmetry_space_group_name_H-M 'I 4/m m m'
_symmetry_Int_Tables_number 139
_symmetry_space_group_name_Hall '-I 4 2'
loop_
_atom_site_label
_atom_site_fract_x
_atom_site_fract_y
_atom_site_fract_z
Na1 0.0000 0.0000 0.0000
Ag1 0.0000 0.5000 0.2500
Sb1 0.0000 0.0000 0.3822
```

## Properties
- E_tot: -3.532 eV per atom
- ΔE_f (raw): -105 meV per atom
- Calculated density: 6.5 g/cm3
- Volume: 248 Å³/cell

***

MgIrPt2: relaxed, PBEsol.

Structure (CIF):
```
data_MgIrPt2
_cell_length_a 5.5709
_cell_length_b 7.6394
_cell_length_c 2.7671
_cell_angle_alpha 90.00
_cell_angle_beta 90.00
_cell_angle_gamma 90.00
_symmetry_space_group_name_H-M 'C m m m'
_symmetry_Int_Tables_number 65
_symmetry_space_group_name_Hall '-C 2 2'
loop_
_atom_site_label
_atom_site_fract_x
_atom_site_fract_y
_atom_site_fract_z
Mg1 0.0000 0.0000 0.0000
Ir1 0.0000 0.5000 0.0000
Pt1 0.2500 0.2500 0.5000
```

## Properties
- E_tot: -6.790 eV per atom
- Calculated density: 17.1 g/cm3
- E_form: -0.4235 eV/atom
- Volume: 118 Å³/cell

***

TbInAg2: relaxed, PBEsol.

Structure (CIF):
```
data_TbInAg2
_cell_length_a 6.8702
_cell_length_b 6.8702
_cell_length_c 6.8702
_cell_angle_alpha 90.00
_cell_angle_beta 90.00
_cell_angle_gamma 90.00
_symmetry_space_group_name_H-M 'F m -3 m'
_symmetry_Int_Tables_number 225
_symmetry_space_group_name_Hall '-F 4 2 3'
loop_
_atom_site_label
_atom_site_fract_x
_atom_site_fract_y
_atom_site_fract_z
Tb1 0.0000 0.0000 0.0000
In1 0.0000 0.0000 0.5000
Ag1 0.2500 0.2500 0.2500
```

## Properties
- E_tot: -4.064 eV per atom
- Calculated density: 10.0 g/cm3
- E_form: -0.4101 eV/atom
- Volume: 324 Å³/cell

***

InHgRu3: relaxed, PBEsol.

Structure (CIF):
```
data_InHgRu3
_cell_length_a 4.8529
_cell_length_b 4.8529
_cell_length_c 4.8529
_cell_angle_alpha 90.00
_cell_angle_beta 90.00
_cell_angle_gamma 90.00
_symmetry_space_group_name_H-M 'P m -3 m'
_symmetry_Int_Tables_number 221
_symmetry_space_group_name_Hall '-P 4 2 3'
loop_
_atom_site_label
_atom_site_fract_x
_atom_site_fract_y
_atom_site_fract_z
In1 0.0000 0.0000 0.0000
Hg1 0.5000 0.5000 0.5000
Ru1 0.0000 0.5000 0.5000
```

## Properties
- E_tot: -4.568 eV per atom
- Calculated density: 9.0 g/cm3
- E_form: 2.2455 eV/atom
- Volume: 114 Å³/cell

***

Y5In4Pd2: relaxed, PBEsol.

Structure (CIF):
```
data_Y5In4Pd2
_cell_length_a 7.9465
_cell_length_b 17.9928
_cell_length_c 3.6055
_cell_angle_alpha 90.00
_cell_angle_beta 90.00
_cell_angle_gamma 90.00
_symmetry_space_group_name_H-M 'P b a m'
_symmetry_Int_Tables_number 55
_symmetry_space_group_name_Hall '-P 2 2ab'
loop_
_atom_site_label
_atom_site_fract_x
_atom_site_fract_y
_atom_site_fract_z
Y1 0.0000 0.0000 0.0000
Y2 0.1182 0.4177 0.0000
Y3 0.2423 0.2192 0.0000
In1 0.0776 0.8498 0.5000
In2 0.2093 0.5688 0.5000
Pd1 0.0267 0.3046 0.5000
```

## Properties
- E_tot: -6.017 eV per atom
- Calculated density: 7.2 g/cm3
- E_form: -0.7480 eV/atom
- Volume: 516 Å³/cell

***

K2BaSc: relaxed, PBEsol.

Structure (CIF):
```
data_K2BaSc
_cell_length_a 3.9222
_cell_length_b 3.9234
_cell_length_c 12.8811
_cell_angle_alpha 90.00
_cell_angle_beta 90.21
_cell_angle_gamma 90.00
_symmetry_space_group_name_H-M 'P 1 m 1'
_symmetry_Int_Tables_number 6
_symmetry_space_group_name_Hall 'P -2y'
loop_
_atom_site_label
_atom_site_fract_x
_atom_site_fract_y
_atom_site_fract_z
K1 0.0000 0.0000 0.0000
K2 0.4912 0.5000 0.2998
Ba1 0.4975 0.5000 0.7145
Sc1 0.9946 0.0000 0.5254
```

## Properties
- E_tot: -2.384 eV per atom
- Calculated density: 2.2 g/cm3
- E_form: 0.3717 eV/atom
- Volume: 198 Å³/cell

***

Cr3InS: relaxed, PBEsol.

Structure (CIF):
```
data_Cr3InS
_cell_length_a 4.9621
_cell_length_b 4.9621
_cell_length_c 4.9621
_cell_angle_alpha 90.00
_cell_angle_beta 90.00
_cell_angle_gamma 90.00
_symmetry_space_group_name_H-M 'P m -3 m'
_symmetry_Int_Tables_number 221
_symmetry_space_group_name_Hall '-P 4 2 3'
loop_
_atom_site_label
_atom_site_fract_x
_atom_site_fract_y
_atom_site_fract_z
Cr1 0.0000 0.0000 0.5000
In1 0.0000 0.0000 0.0000
S1 0.5000 0.5000 0.5000
```

## Properties
- E_tot: -5.897 eV per atom
- ΔE_f (raw): 1722 meV per atom
- Calculated density: 4.1 g/cm3
- Volume: 122 Å³/cell

***

CsTaI6: relaxed, PBEsol.

Structure (CIF):
```
data_CsTaI6
_cell_length_a 13.3273
_cell_length_b 7.0290
_cell_length_c 13.6558
_cell_angle_alpha 90.00
_cell_angle_beta 101.26
_cell_angle_gamma 90.00
_symmetry_space_group_name_H-M 'C 1 2/c 1'
_symmetry_Int_Tables_number 15
_symmetry_space_group_name_Hall '-C 2yc'
loop_
_atom_site_label
_atom_site_fract_x
_atom_site_fract_y
_atom_site_fract_z
Cs1 0.0000 0.0813 0.2500
Ta1 0.2500 0.2500 0.0000
I1 0.0714 0.4035 0.8955
I2 0.1468 0.0717 0.5346
I3 0.2113 0.4115 0.1719
```

## Properties
- E_tot: -3.729 eV per atom
- ΔE_f (raw): -717 meV per atom
- Calculated density: 5.7 g/cm3
- Volume: 1255 Å³/cell

***

AsIBr2Cl: relaxed, PBEsol.

Structure (CIF):
```
data_AsIBr2Cl
_cell_length_a 4.9005
_cell_length_b 4.9005
_cell_length_c 5.8062
_cell_angle_alpha 90.00
_cell_angle_beta 90.00
_cell_angle_gamma 90.00
_symmetry_space_group_name_H-M 'P 4/m m m'
_symmetry_Int_Tables_number 123
_symmetry_space_group_name_Hall '-P 4 2'
loop_
_atom_site_label
_atom_site_fract_x
_atom_site_fract_y
_atom_site_fract_z
As1 0.0000 0.0000 0.0000
I1 0.5000 0.5000 0.0000
Br1 0.0000 0.5000 0.5000
Cl1 0.0000 0.0000 0.5000
```

## Properties
- E_tot: -1.913 eV per atom
- ΔE_f (raw): 611 meV per atom
- Calculated density: 4.7 g/cm3
- Volume: 139 Å³/cell

***

TlIO3: relaxed, PBEsol.

Structure (CIF):
```
data_TlIO3
_cell_length_a 6.1977
_cell_length_b 6.1977
_cell_length_c 7.8711
_cell_angle_alpha 90.00
_cell_angle_beta 90.00
_cell_angle_gamma 120.00
_symmetry_space_group_name_H-M 'R 3 m'
_symmetry_Int_Tables_number 160
_symmetry_space_group_name_Hall 'R 3 -2"'
loop_
_atom_site_label
_atom_site_fract_x
_atom_site_fract_y
_atom_site_fract_z
Tl1 0.0000 0.0000 0.0000
I1 0.0000 0.0000 0.5041
O1 0.0312 0.5156 0.0605
```

## Properties
- E_tot: -4.569 eV per atom
- ΔE_f (raw): -540 meV per atom
- Calculated density: 7.2 g/cm3
- Volume: 262 Å³/cell

***

CoHgMo2: relaxed, PBEsol.

Structure (CIF):
```
data_CoHgMo2
_cell_length_a 3.4975
_cell_length_b 3.9270
_cell_length_c 8.6070
_cell_angle_alpha 90.00
_cell_angle_beta 90.00
_cell_angle_gamma 90.00
_symmetry_space_group_name_H-M 'I m m m'
_symmetry_Int_Tables_number 71
_symmetry_space_group_name_Hall '-I 2 2'
loop_
_atom_site_label
_atom_site_fract_x
_atom_site_fract_y
_atom_site_fract_z
Co1 0.0000 0.0000 0.0000
Hg1 0.0000 0.0000 0.5000
Mo1 0.0000 0.5000 0.2571
```

## Properties
- E_tot: -7.569 eV per atom
- Calculated density: 12.7 g/cm3
- E_form: 0.3913 eV/atom
- Volume: 118 Å³/cell

***

HgBiSeN2: relaxed, PBEsol.

Structure (CIF):
```
data_HgBiSeN2
_cell_length_a 4.2757
_cell_length_b 4.2757
_cell_length_c 5.8689
_cell_angle_alpha 90.00
_cell_angle_beta 90.00
_cell_angle_gamma 90.00
_symmetry_space_group_name_H-M 'P 4/m m m'
_symmetry_Int_Tables_number 123
_symmetry_space_group_name_Hall '-P 4 2'
loop_
_atom_site_label
_atom_site_fract_x
_atom_site_fract_y
_atom_site_fract_z
Hg1 0.0000 0.0000 0.0000
Bi1 0.5000 0.5000 0.5000
Se1 0.5000 0.5000 0.0000
N1 0.0000 0.5000 0.5000
```

## Properties
- E_tot: -3.726 eV per atom
- ΔE_f (raw): 1425 meV per atom
- Calculated density: 8.0 g/cm3
- Volume: 107 Å³/cell

***

SrZn2As: relaxed, PBEsol.

Structure (CIF):
```
data_SrZn2As
_cell_length_a 4.1871
_cell_length_b 4.1871
_cell_length_c 17.3900
_cell_angle_alpha 90.00
_cell_angle_beta 90.00
_cell_angle_gamma 120.00
_symmetry_space_group_name_H-M 'R 3 m'
_symmetry_Int_Tables_number 160
_symmetry_space_group_name_Hall 'R 3 -2"'
loop_
_atom_site_label
_atom_site_fract_x
_atom_site_fract_y
_atom_site_fract_z
Sr1 0.0000 0.0000 0.0000
Zn1 0.0000 0.0000 0.2210
Zn2 0.0000 0.0000 0.5061
As1 0.0000 0.0000 0.7827
```

## Properties
- E_tot: -2.916 eV per atom
- Calculated density: 5.5 g/cm3
- E_form: -0.3884 eV/atom
- Volume: 264 Å³/cell

***

MgZn2Sn2: relaxed, PBEsol.

Structure (CIF):
```
data_MgZn2Sn2
_cell_length_a 7.3246
_cell_length_b 7.3246
_cell_length_c 3.8668
_cell_angle_alpha 90.00
_cell_angle_beta 90.00
_cell_angle_gamma 90.00
_symmetry_space_group_name_H-M 'P 4/m b m'
_symmetry_Int_Tables_number 127
_symmetry_space_group_name_Hall '-P 4 2ab'
loop_
_atom_site_label
_atom_site_fract_x
_atom_site_fract_y
_atom_site_fract_z
Mg1 0.0000 0.0000 0.0000
Zn1 0.1218 0.3782 0.0000
Sn1 0.1805 0.6805 0.5000
```

## Properties
- E_tot: -2.670 eV per atom
- Calculated density: 6.3 g/cm3
- E_form: 0.0102 eV/atom
- Volume: 207 Å³/cell